No. 1
{
  "formula": "Re2SiMo",
  "functional": "PBE-GGA",
  "state": "relaxed",
  "e_form_raw_ev_per_fu": -0.31,
  "spacegroup": "No. 123",
  "e_tot_ev_per_cell": -41.458,
  "n_ef_per_ev_cell": 2.68,
  "lattice_angstrom": [[-2.242, -0.631, -1.993], [0.817, -2.954, 0.015], [-3.842, -1.039, 4.651]],
  "species": ["Re", "Re", "Mo", "Si"],
  "fractional_positions": [[0.000, 0.000, 0.485], [0.000, 0.000, 0.015], [0.500, 0.500, 0.750], [0.500, 0.500, 0.250]]
}

No. 2
{
  "formula": "Re2SiMo",
  "functional": "PBE-GGA",
  "state": "relaxed",
  "e_form_raw_ev_per_fu": 0.35,
  "spacegroup": "No. 12",
  "e_tot_ev_per_cell": -40.800,
  "n_ef_per_ev_cell": 3.26,
  "lattice_angstrom": [[4.601, -0.001, -0.012], [3.732, 2.691, -0.012], [0.521, 0.168, 4.760]],
  "species": ["Re", "Re", "Si", "Mo"],
  "fractional_positions": [[0.002, 0.002, 0.992], [0.498, 0.498, 0.508], [0.750, 0.750, 0.750], [0.250, 0.250, 0.250]]
}